VASP calculation (PBE) on a geometry-optimized YMg2AgAu4 structure.

Calculated values
Electronic total energy (eV for the cell shown): -89.84
Calculated volume (A^3/atom): 19.69
DFT formation energy (kJ/mol of atoms): -52.2
M_tot (μB/cell): 0.00

abc: 4.7556 4.7556 24.1226
angles: 90.00 90.00 120.00
Space group R-3m (No. 166, hexagonal axes)
Asymmetric unit:
Y  0.0000  0.0000  0.0000 (multiplicity 3)
Mg  0.0000  0.0000  0.2424 (multiplicity 6)
Ag  0.0000  0.0000  0.5000 (multiplicity 3)
Au  0.0000  0.0000  0.1232 (multiplicity 6)
Au  0.0000  0.0000  0.3824 (multiplicity 6)